Record 1
ZrU4P6 | PBE-GGA | optimized geometry

a b c (Å): 10.7694 10.7694 13.3502
angles (deg): 90.00 90.00 120.00
Space group R-3c (No. 167, hexagonal axes)
Asymmetric unit:
Zr: 0.0000 0.0000 0.0000 x6
U: 0.0000 0.0000 0.2500 x6
U: 0.0000 0.3818 0.2500 x18
P: 0.0283 0.2076 0.3868 x36

Properties
- Calculated volume: 20.32 A^3/atom
- Fermi-level density of states: 2.100 states/eV per atom
- ΔE_f: -0.8890 eV per atom



Record 2
Zr3UP4 | PBE-GGA | optimized geometry

a b c (Å): 6.5529 7.5835 6.5599
angles (deg): 90.00 109.62 90.00
Space group P2/c (No. 13)
Asymmetric unit:
Zr: 0.0000 0.1214 0.2500 x2
Zr: 0.0000 0.3699 0.7500 x2
Zr: 0.5000 0.1233 0.7500 x2
U: 0.5000 0.3747 0.2500 x2
P: 0.2448 0.3725 0.4984 x4
P: 0.2485 0.1232 0.0004 x4

Properties
- Calculated volume: 19.19 A^3/atom
- Fermi-level density of states: 0.842 states/eV per atom
- ΔE_f: -1.2875 eV per atom



Record 3
ZrUP2 | PBE-GGA | optimized geometry

a b c (Å): 3.7034 3.7034 20.4681
angles (deg): 90.00 90.00 120.00
Space group R3m (No. 160, hexagonal axes)
Asymmetric unit:
Zr: 0.0000 0.0000 0.0000 x3
U: 0.0000 0.0000 0.1736 x3
P: 0.0000 0.0000 0.4146 x3
P: 0.0000 0.0000 0.5919 x3

Properties
- Calculated volume: 20.26 A^3/atom
- Fermi-level density of states: 1.753 states/eV per atom
- ΔE_f: -1.0821 eV per atom
- Offset from the most stable computed form: 0.143 eV/atom



Record 4
Zr2UP4 | PBE-GGA | optimized geometry

a b c (Å): 3.7552 12.2009 12.2387
angles (deg): 90.00 90.00 90.00
Space group Cmcm (No. 63)
Asymmetric unit:
Zr: 0.0000 0.1355 0.0573 x8
U: 0.0000 0.3914 0.2500 x4
P: 0.0000 0.0507 0.2500 x4
P: 0.0000 0.2316 0.6360 x8
P: 0.0000 0.5000 0.0000 x4

Properties
- Calculated volume: 20.03 A^3/atom
- Fermi-level density of states: 0.757 states/eV per atom
- ΔE_f: -0.9740 eV per atom



Record 5
ZrUP2 | PBE-GGA | optimized geometry

a b c (Å): 3.8200 3.8200 18.9141
angles (deg): 90.00 90.00 120.00
Space group R-3m (No. 166, hexagonal axes)
Asymmetric unit:
Zr: 0.0000 0.0000 0.0000 x3
U: 0.0000 0.0000 0.5000 x3
P: 0.0000 0.0000 0.2534 x6

Properties
- Calculated volume: 19.92 A^3/atom
- Fermi-level density of states: 1.126 states/eV per atom
- ΔE_f: -1.2248 eV per atom
- Offset from the most stable computed form: 0.000 eV/atom



Record 6
ZrU4P5 | PBE-GGA | optimized geometry

a b c (Å): 3.8628 5.5009 19.6044
angles (deg): 90.00 90.00 90.00
Space group Immm (No. 71)
Asymmetric unit:
Zr: 0.0000 0.0000 0.0000 x2
U: 0.0000 0.0000 0.1979 x4
U: 0.0000 0.0000 0.4010 x4
P: 0.0000 0.5000 0.0000 x2
P: 0.0000 0.5000 0.2004 x4
P: 0.0000 0.5000 0.4040 x4

Properties
- Calculated volume: 20.83 A^3/atom
- Fermi-level density of states: 2.280 states/eV per atom
- ΔE_f: -1.0551 eV per atom



Record 7
ZrU2P4 | PBE-GGA | optimized geometry

a b c (Å): 3.7543 13.2185 12.1729
angles (deg): 90.00 90.00 90.00
Space group Cmcm (No. 63)
Asymmetric unit:
Zr: 0.0000 0.1227 0.2500 x4
U: 0.0000 0.3659 0.0699 x8
P: 0.0000 0.0000 0.0000 x4
P: 0.0000 0.2716 0.6326 x8
P: 0.0000 0.4793 0.2500 x4

Properties
- Calculated volume: 21.58 A^3/atom
- Fermi-level density of states: 1.436 states/eV per atom
- ΔE_f: -0.7112 eV per atom



Record 8
V4P | PBE-GGA | optimized geometry

a b c (Å): 9.6550 10.6005 5.3378
angles (deg): 90.00 90.00 90.00
Space group Fdd2 (No. 43)
Asymmetric unit:
V: 0.0750 0.3917 0.0000 x16
V: 0.1011 0.3026 0.4774 x16
P: 0.0000 0.0000 0.8797 x8

Properties
- Calculated volume: 13.66 A^3/atom
- Fermi-level density of states: 1.064 states/eV per atom
- ΔE_f: -0.3043 eV per atom
- Offset from the most stable computed form: 0.000 eV/atom



Record 9
V5P3 | PBE-GGA | optimized geometry

a b c (Å): 6.9430 6.9430 4.8047
angles (deg): 90.00 90.00 120.00
Space group P6_3/mcm (No. 193)
Asymmetric unit:
V: 0.0000 0.2530 0.2500 x6
V: 0.3333 0.6667 0.0000 x4
P: 0.0000 0.3873 0.7500 x6

Properties
- Calculated volume: 12.54 A^3/atom
- Fermi-level density of states: 0.902 states/eV per atom
- ΔE_f: -0.7862 eV per atom
- Offset from the most stable computed form: 0.000 eV/atom



Record 10
V5P2 | PBE-GGA | optimized geometry

a b c (Å): 13.0551 4.8122 5.8901
angles (deg): 90.00 94.76 90.00
Space group C2/c (No. 15)
Asymmetric unit:
V: 0.0000 0.1241 0.2500 x4
V: 0.0943 0.3710 0.9318 x8
V: 0.2283 0.1270 0.2838 x8
P: 0.1113 0.1697 0.5714 x8

Properties
- Calculated volume: 13.17 A^3/atom
- Fermi-level density of states: 0.827 states/eV per atom
- ΔE_f: -0.5858 eV per atom



Record 11
V3P | PBE-GGA | optimized geometry

a b c (Å): 9.3383 9.3383 4.7404
angles (deg): 90.00 90.00 90.00
Space group P4_2/n (No. 86, origin choice 2)
Asymmetric unit:
V: 0.0343 0.5552 0.2410 x8
V: 0.1025 0.2390 0.0137 x8
V: 0.1576 0.6670 0.7309 x8
P: 0.0418 0.2285 0.5164 x8

Properties
- Calculated volume: 12.92 A^3/atom
- Fermi-level density of states: 0.766 states/eV per atom
- ΔE_f: -0.6671 eV per atom



Record 12
VP4 | PBE-GGA | optimized geometry

a b c (Å): 4.5058 4.5058 4.5058
angles (deg): 90.00 90.00 90.00
Space group Pm-3m (No. 221)
Asymmetric unit:
V: 0.0000 0.0000 0.0000 x1
P: 0.0000 0.0000 0.5000 x3
P: 0.5000 0.5000 0.5000 x1

Properties
- Calculated volume: 18.30 A^3/atom
- Fermi-level density of states: 1.097 states/eV per atom
- ΔE_f: 0.6908 eV per atom
- Offset from the most stable computed form: 1.033 eV/atom